Here is a relaxed Mg3In3Pb5 crystal from Alexandria via LeMat-Bulk. Energies are from PBE.

Summary:
N(E_F) = 6.27 states/eV/f.u.
V = 29.02 Å³ per atom
energy of formation = 0.065 eV per atom
energy = -2.8019 eV per atom
space-group type = P-62m, No. 189

abc: 10.6030 10.6030 3.2791
angles: 90.00 90.00 120.00
Closest atoms and distances in Å follow each position.
Atoms (fractional coordinates):
Mg  0.0000  0.5971  0.0000  2 In 2.98, 2 Pb 3.10, 2 Mg 3.28
Mg  0.4029  0.4029  0.0000  2 In 2.98, 2 Pb 3.10, 2 Mg 3.28
Mg  0.5971  0.0000  0.0000  2 In 2.98, 2 Pb 3.10, 2 Mg 3.28
In  0.0000  0.8321  0.5000  2 Mg 2.98, 4 In 3.08-3.28, 2 Pb 3.21
In  0.1679  0.1679  0.5000  2 Mg 2.98, 4 In 3.08-3.28, 2 Pb 3.21
In  0.8321  0.0000  0.5000  2 Mg 2.98, 4 In 3.08-3.28, 2 Pb 3.21
Pb  0.0000  0.3495  0.5000  2 Mg 3.10, 2 In 3.21, 4 Pb 3.28-3.45
Pb  0.3333  0.6667  0.5000  5 Pb 3.28-3.45, 6 Mg 3.62
Pb  0.3495  0.0000  0.5000  2 Mg 3.10, 2 In 3.21, 4 Pb 3.28-3.45
Pb  0.6505  0.6505  0.5000  2 Mg 3.10, 2 In 3.21, 4 Pb 3.28-3.45
Pb  0.6667  0.3333  0.5000  5 Pb 3.28-3.45, 6 Mg 3.62